[1]
Material: Np2AlZn3
Method: DFT, PBE
State: optimized geometry

```
12
Lattice="-2.412 -3.193 -3.853 5.539 0.214 0.359 -0.100 -6.387 5.355" Properties=species:S:1:pos:R:3 pbc="T T T"
Zn -1.105 -7.390 0.896
Zn 1.482 -2.077 0.794
Zn 2.978 -3.502 -0.878
Zn 1.546 -7.288 1.068
Al -0.050 -3.193 2.678
Zn 4.132 -1.975 0.966
Al 0.000 0.000 0.000
Np 0.230 -2.602 -1.992
Zn 0.049 -5.863 2.739
Np 0.197 -4.705 -0.228
Np 2.797 -6.763 3.853
Np 2.830 -4.660 2.090
```

Properties
**E_form**: 0.00 eV/atom
**Final energy**: -5.570 eV/atom
**Total moment**: 16.665 μB/cell
**Density of states at the Fermi level**: 11.2 states/eV/f.u.
**Symmetry**: P6_3/mmc, No. 194


[2]
Material: PuMnAlFe
Method: DFT, PBE
State: optimized geometry

```
4
Lattice="-0.926 -1.648 -3.961 3.206 -1.679 -2.483 0.211 -4.331 -0.679" Properties=species:S:1:pos:R:3 pbc="T T T"
Fe 0.623 -1.914 -1.781
Al 0.000 0.000 0.000
Mn 1.868 -5.743 -5.343
Pu 1.245 -3.829 -3.562
```

Properties
**E_form**: -0.14 eV/atom
**Final energy**: -9.069 eV/atom
**Total moment**: 1.960 μB/cell
**Density of states at the Fermi level**: 5.5 states/eV/f.u.
**Symmetry**: F-43m, No. 216


[3]
Material: DyTcOs
Method: DFT, PBE
State: optimized geometry

```
12
Lattice="5.402 -0.108 0.000 -2.711 4.674 0.000 0.000 0.000 8.798" Properties=species:S:1:pos:R:3 pbc="T T T"
Os 3.970 0.736 0.000
Os 1.378 0.750 0.000
Dy 0.009 3.071 7.197
Dy 0.009 3.071 1.601
Dy 2.691 1.490 6.032
Dy 2.691 1.490 2.766
Tc -0.004 1.586 4.399
Tc -2.701 4.668 2.186
Os -1.314 3.850 4.399
Tc -2.701 4.668 6.612
Tc 1.302 3.801 4.399
Os 2.703 2.997 0.000
```

Properties
**E_form**: -0.26 eV/atom
**Final energy**: -8.989 eV/atom
**Total moment**: 0.000 μB/cell
**Density of states at the Fermi level**: 3.0 states/eV/f.u.
**ΔE to the lowest computed polymorph**: 0 meV per atom
**Symmetry**: Amm2, No. 38


Question: E_form of number 2 (PuMnAlFe)?
Answer: -0.14 eV/atom


Question: Among the records above, which one has the highest E_form?
Answer: Np2AlZn3


Question: Among the records above, which one has the lowest total moment?
Answer: DyTcOs


What did the third record say?
Material: DyTcOs
Method: DFT, PBE
State: optimized geometry

```
12
Lattice="5.402 -0.108 0.000 -2.711 4.674 0.000 0.000 0.000 8.798" Properties=species:S:1:pos:R:3 pbc="T T T"
Os 3.970 0.736 0.000
Os 1.378 0.750 0.000
Dy 0.009 3.071 7.197
Dy 0.009 3.071 1.601
Dy 2.691 1.490 6.032
Dy 2.691 1.490 2.766
Tc -0.004 1.586 4.399
Tc -2.701 4.668 2.186
Os -1.314 3.850 4.399
Tc -2.701 4.668 6.612
Tc 1.302 3.801 4.399
Os 2.703 2.997 0.000
```

Properties
**E_form**: -0.26 eV/atom
**Final energy**: -8.989 eV/atom
**Total moment**: 0.000 μB/cell
**Density of states at the Fermi level**: 3.0 states/eV/f.u.
**ΔE to the lowest computed polymorph**: 0 meV per atom
**Symmetry**: Amm2, No. 38